Material: KCeGa4
Method: DFT, PBE-GGA
State: relaxed

Output
formation energy = -0.204 eV per atom
magnetization = 1.07 μB/f.u.
D(E_F) = 9.282 states/eV/cell
crystal system = cubic

POSCAR file:
```
KCeGa4
1.0
5.703 0.000 0.000
2.852 4.939 0.000
2.852 1.646 4.657
K Ga Ce
1 4 1
direct
0.250 0.250 0.250
0.626 0.626 0.122
0.626 0.122 0.626
0.626 0.626 0.626
0.122 0.626 0.626
0.000 0.000 0.000
```


Material: K2CeGa2O6
Method: DFT, PBE-GGA
State: relaxed

Output
magnetization = 0.00 μB/f.u.
D(E_F) = 0.000 states/eV/cell
crystal system = trigonal
energy relative to the elements, uncorrected = -2.12 eV/atom

POSCAR file:
```
K2CeGa2O6
1.0
-3.914 -0.897 -3.772
5.210 -1.461 -1.035
-1.117 -5.776 2.533
K Ce Ga O
2 1 2 6
direct
0.333 0.667 0.500
0.667 0.333 0.500
0.000 0.000 0.000
0.333 0.667 0.000
0.667 0.333 0.000
0.364 0.364 0.831
0.000 0.636 0.831
0.636 0.000 0.831
0.636 0.636 0.169
0.000 0.364 0.169
0.364 0.000 0.169
```


Material: K2Ce2GaS6
Method: DFT, PBE-GGA
State: relaxed

Output
magnetization = 1.07 μB/f.u.
D(E_F) = 7.077 states/eV/cell
crystal system = monoclinic
energy relative to the elements, uncorrected = -1.41 eV/atom

POSCAR file:
```
K2Ce2GaS6
1.0
6.946 -0.045 0.081
-3.472 6.016 0.081
-1.219 -2.095 7.470
K Ce Ga S
2 2 1 6
direct
0.833 0.167 0.000
0.167 0.833 0.000
0.332 0.668 0.500
0.668 0.332 0.500
0.000 0.000 0.500
0.773 0.773 0.681
0.063 0.386 0.696
0.227 0.227 0.319
0.386 0.063 0.696
0.937 0.614 0.304
0.614 0.937 0.304
```


Material: K3Ce3GaSe8
Method: DFT, PBE-GGA
State: relaxed

Output
magnetization = 1.66 μB/f.u.
D(E_F) = 14.897 states/eV/cell
crystal system = trigonal
energy relative to the elements, uncorrected = -1.42 eV/atom

POSCAR file:
```
K3Ce3GaSe8
1.0
-2.292 8.123 0.709
0.338 -4.920 6.885
7.965 2.576 -3.758
K Ce Ga Se
3 3 1 8
direct
0.000 0.000 0.000
0.000 0.500 0.000
0.500 0.500 0.000
0.500 0.000 0.500
0.500 0.500 0.500
0.000 0.500 0.500
0.000 0.000 0.500
0.263 0.527 0.290
0.737 0.473 0.710
0.777 0.553 0.307
0.223 0.447 0.693
0.777 0.030 0.307
0.223 0.970 0.693
0.254 0.030 0.307
0.746 0.970 0.693
```


Material: LaCeGa2
Method: DFT, PBE-GGA
State: relaxed

Output
formation energy = -0.502 eV per atom
magnetization = 0.77 μB/f.u.
D(E_F) = 7.004 states/eV/cell
crystal system = tetragonal

POSCAR file:
```
LaCeGa2
1.0
3.706 0.000 0.000
0.000 3.706 0.000
0.000 0.000 7.424
Ga Ce La
2 1 1
direct
0.000 0.000 0.759
0.000 0.000 0.241
0.500 0.500 0.000
0.500 0.500 0.500
```


Material: La2CeGa3
Method: DFT, PBE-GGA
State: relaxed

Output
formation energy = -0.418 eV per atom
magnetization = 0.95 μB/f.u.
D(E_F) = 16.776 states/eV/cell
crystal system = orthorhombic
energy above the most stable polymorph in this dataset = 107.9 meV per atom

POSCAR file:
```
La2CeGa3
1.0
5.917 1.589 0.000
0.408 6.113 0.000
-3.163 -3.851 8.438
La Ce Ga
4 2 6
direct
0.750 0.250 0.500
0.750 0.250 0.000
0.250 0.750 0.500
0.250 0.750 0.000
0.666 0.666 0.333
0.334 0.334 0.667
0.841 0.841 0.159
0.682 0.682 0.841
0.159 0.159 0.841
0.318 0.318 0.159
0.158 0.158 0.317
0.842 0.842 0.683
```


Material: La2CeGa
Method: DFT, PBE-GGA
State: relaxed

Output
formation energy = -0.209 eV per atom
magnetization = 0.39 μB/f.u.
D(E_F) = 6.265 states/eV/cell
crystal system = tetragonal
energy above the most stable polymorph in this dataset = 10.3 meV per atom

POSCAR file:
```
La2CeGa
1.0
-3.283 -1.223 1.147
1.636 -1.784 2.780
-0.862 7.010 5.006
Ga Ce La
1 1 2
direct
0.500 0.500 0.000
0.500 0.500 0.500
0.000 0.000 0.779
0.000 0.000 0.221
```


Material: LaCe2Ga
Method: DFT, PBE-GGA
State: relaxed

Output
formation energy = -0.188 eV per atom
magnetization = 1.05 μB/f.u.
D(E_F) = 11.202 states/eV/cell
crystal system = tetragonal
energy above the most stable polymorph in this dataset = 94.5 meV per atom

POSCAR file:
```
LaCe2Ga
1.0
-0.282 0.094 3.848
0.811 -3.770 0.152
7.395 1.610 0.502
Ga Ce La
1 2 1
direct
0.500 0.500 0.000
0.000 0.000 0.812
0.000 0.000 0.188
0.500 0.500 0.500
```


> Which of these has the highest D(E_F)?

La2CeGa3


> Which of these has the lowest magnetization?

K2CeGa2O6


> Number 4 is which compound?

K3Ce3GaSe8